Here is an optimized crystal structure of LiScCuAs from OQMD via LeMat-Bulk. Energies are from PBE.

a = 4.418 Å, b = 4.418 Å, c = 4.418 Å
α = 60.00°, β = 60.00°, γ = 60.00°
Atoms (fractional coordinates):
Li: 0.000 0.000 0.000
Sc: 0.750 0.750 0.750
Cu: 0.500 0.500 0.500
As: 0.250 0.250 0.250

Calculated values
- Magnetic moment: 0.0009 μB per atom
- Relative energy among the computed polymorphs: 285 meV/atom
- SG: F-43m, No. 216
- Crystal system: cubic

Here is an optimized crystal structure of AlCu from OQMD via LeMat-Bulk. Energies are from PBE.

a = 3.902 Å, b = 3.902 Å, c = 6.327 Å
α = 90.00°, β = 90.00°, γ = 120.00°
Atoms (fractional coordinates):
Al: 0.333 0.667 0.000
Al: 0.667 0.333 0.500
Cu: 0.333 0.667 0.378
Cu: 0.667 0.333 0.878

Calculated values
- SG: P6_3mc, No. 186
- Crystal system: hexagonal
- Total energy: -3.145 eV per atom

Here is an optimized crystal structure of HfCuNiAs from OQMD via LeMat-Bulk. Energies are from PBE.

a = 4.390 Å, b = 4.390 Å, c = 4.390 Å
α = 60.00°, β = 60.00°, γ = 60.00°
Atoms (fractional coordinates):
Hf: 0.000 0.000 0.000
Cu: 0.750 0.750 0.750
Ni: 0.500 0.500 0.500
As: 0.250 0.250 0.250

Calculated values
- Magnetic moment: 0.0016 μB per atom
- Relative energy among the computed polymorphs: 12 meV/atom
- SG: F-43m, No. 216
- Crystal system: cubic

Here is an optimized crystal structure of ZrCoSnAu from OQMD via LeMat-Bulk. Energies are from PBE.

a = 4.667 Å, b = 4.667 Å, c = 4.667 Å
α = 60.00°, β = 60.00°, γ = 60.00°
Atoms (fractional coordinates):
Zr: 0.000 0.000 0.000
Co: 0.250 0.250 0.250
Sn: 0.750 0.750 0.750
Au: 0.500 0.500 0.500

Calculated values
- Magnetic moment: 0.1374 μB per atom
- Relative energy among the computed polymorphs: 177 meV/atom
- SG: F-43m, No. 216
- Crystal system: cubic

Here is an optimized crystal structure of Li4Cu2SnSb from OQMD via LeMat-Bulk. Energies are from PBE.

a = 4.415 Å, b = 4.415 Å, c = 6.308 Å
α = 90.00°, β = 90.00°, γ = 90.00°
Atoms (fractional coordinates):
Li: 0.000 0.000 0.000
Li: 0.000 0.500 0.749
Li: 0.500 0.000 0.251
Li: 0.500 0.500 0.500
Cu: 0.000 0.500 0.257
Cu: 0.500 0.000 0.743
Sn: 0.000 0.000 0.500
Sb: 0.500 0.500 0.000

Calculated values
- SG: P-4m2, No. 115
- Crystal system: tetragonal
- Total energy: -3.278 eV per atom

Here is an optimized crystal structure of GdHoPbC from OQMD via LeMat-Bulk. Energies are from PBE.

a = 3.647 Å, b = 3.647 Å, c = 16.211 Å
α = 90.00°, β = 90.00°, γ = 120.00°
Atoms (fractional coordinates):
Gd: 0.333 0.667 0.000
Gd: 0.667 0.333 0.500
Ho: 0.333 0.667 0.665
Ho: 0.667 0.333 0.165
Pb: 0.333 0.667 0.331
Pb: 0.667 0.333 0.831
C: 0.000 0.000 0.084
C: 0.000 0.000 0.584

Calculated values
- Magnetic moment: 0.0009 μB per atom
- SG: P6_3mc, No. 186
- Crystal system: hexagonal
- Total energy: -6.017 eV per atom

Here is an optimized crystal structure of LiAg2Os from OQMD via LeMat-Bulk. Energies are from PBE.

a = 4.473 Å, b = 4.473 Å, c = 4.473 Å
α = 60.00°, β = 60.00°, γ = 60.00°
Atoms (fractional coordinates):
Li: 0.000 0.000 0.000
Ag: 0.500 0.500 0.500
Ag: 0.750 0.750 0.750
Os: 0.250 0.250 0.250

Calculated values
- Magnetic moment: 0.4898 μB per atom
- SG: F-43m, No. 216
- Crystal system: cubic
- Total energy: -3.998 eV per atom

Here is an optimized crystal structure of GdBeCd from OQMD via LeMat-Bulk. Energies are from PBE.

a = 4.519 Å, b = 4.519 Å, c = 4.519 Å
α = 60.00°, β = 60.00°, γ = 60.00°
Atoms (fractional coordinates):
Gd: 0.000 0.000 0.000
Be: 0.750 0.750 0.750
Cd: 0.500 0.500 0.500

Calculated values
- Magnetic moment: 0.0187 μB per atom
- SG: F-43m, No. 216
- Crystal system: cubic
- Total energy: -3.023 eV per atom

Here is an optimized crystal structure of BaHfSb2 from OQMD via LeMat-Bulk. Energies are from PBE.

a = 5.432 Å, b = 5.432 Å, c = 5.432 Å
α = 60.00°, β = 60.00°, γ = 60.00°
Atoms (fractional coordinates):
Ba: 0.000 0.000 0.000
Hf: 0.250 0.250 0.250
Sb: 0.500 0.500 0.500
Sb: 0.750 0.750 0.750

Calculated values
- Magnetic moment: 0.0003 μB per atom
- SG: F-43m, No. 216
- Crystal system: cubic
- Total energy: -4.828 eV per atom

Here is an optimized crystal structure of TmSc2Ni9 from OQMD via LeMat-Bulk. Energies are from PBE.

a = 8.397 Å, b = 8.397 Å, c = 8.397 Å
α = 33.55°, β = 33.55°, γ = 33.55°
Atoms (fractional coordinates):
Tm: 0.000 0.000 0.000
Sc: 0.141 0.141 0.141
Sc: 0.859 0.859 0.859
Ni: 0.082 0.586 0.586
Ni: 0.333 0.333 0.333
Ni: 0.414 0.414 0.918
Ni: 0.414 0.918 0.414
Ni: 0.500 0.500 0.500
Ni: 0.586 0.082 0.586
Ni: 0.586 0.586 0.082
Ni: 0.667 0.667 0.667
Ni: 0.918 0.414 0.414

Calculated values
- Magnetic moment: 0.0804 μB per atom
- SG: R-3m, No. 166
- Crystal system: trigonal
- Total energy: -6.066 eV per atom

Here is an optimized crystal structure of GdHoZn6 from OQMD via LeMat-Bulk. Energies are from PBE.

a = 4.674 Å, b = 6.610 Å, c = 4.674 Å
α = 90.00°, β = 90.00°, γ = 90.00°
Atoms (fractional coordinates):
Gd: 0.000 0.000 0.000
Ho: 0.500 0.500 0.508
Zn: 0.000 0.253 0.499
Zn: 0.000 0.500 0.001
Zn: 0.000 0.747 0.499
Zn: 0.500 0.000 0.507
Zn: 0.500 0.253 0.008
Zn: 0.500 0.747 0.008

Calculated values
- Magnetic moment: 0.0002 μB per atom
- SG: Pmm2, No. 25
- Crystal system: orthorhombic
- Total energy: -2.397 eV per atom

Here is an optimized crystal structure of YAlFeCu from OQMD via LeMat-Bulk. Energies are from PBE.

a = 4.535 Å, b = 4.535 Å, c = 4.535 Å
α = 60.00°, β = 60.00°, γ = 60.00°
Atoms (fractional coordinates):
Y: 0.000 0.000 0.000
Al: 0.500 0.500 0.500
Fe: 0.250 0.250 0.250
Cu: 0.750 0.750 0.750

Calculated values
- Magnetic moment: 0.4567 μB per atom
- Relative energy among the computed polymorphs: 0 meV/atom
- SG: F-43m, No. 216
- Crystal system: cubic